1.
VASP calculation (PBE-GGA) on a relaxed TaRe2Tc2 crystal.

It has space group P4/mbm (No. 127), with a = 7.5618 Å, b = 7.5618 Å, c = 2.7978 Å, α = 90.00°, β = 90.00° and γ = 90.00°. The distinct sites, in fractional coordinates, are Ta at (0.0000, 0.0000, 0.0000), Re at (0.1251, 0.3749, 0.0000) and Tc at (0.1721, 0.6721, 0.5000).

The value obtained for the formation energy is 0.75 eV/f.u.

=====

2.
VASP calculation (PBE-GGA) on a relaxed K2CaTl5 crystal.

It has space group I4/mmm (No. 139), with a = 5.5461 Å, b = 5.5461 Å, c = 17.4152 Å, α = 90.00°, β = 90.00° and γ = 90.00°. The distinct sites, in fractional coordinates, are K at (0.0000, 0.0000, 0.2476), Ca at (0.0000, 0.0000, 0.5000), Tl at (0.0000, 0.0000, 0.0000) and Tl at (0.0000, 0.5000, 0.1084).

The value obtained for the formation energy is -1.27 eV/f.u.

=====

3.
VASP calculation (PBE-GGA) on a relaxed K4La5 crystal.

It has space group P6_3/mcm (No. 193), with a = 11.3804 Å, b = 11.3804 Å, c = 7.4049 Å, α = 90.00°, β = 90.00° and γ = 120.00°. The distinct sites, in fractional coordinates, are K at (0.0000, 0.0000, 0.0000), K at (0.0000, 0.2765, 0.2500), La at (0.0000, 0.4164, 0.7500) and La at (0.3333, 0.6667, 0.0000).

The value obtained for the formation energy is 4.41 eV/f.u.

=====

4.
VASP calculation (PBE-GGA) on a relaxed NdCoSi3Ni crystal.

It has space group Cmcm (No. 63), with a = 6.0015 Å, b = 11.9855 Å, c = 5.6909 Å, α = 90.00°, β = 90.00° and γ = 90.00°. The distinct sites, in fractional coordinates, are Nd at (0.0000, 0.2367, 0.2500), Co at (0.0000, 0.0428, 0.7500), Si at (0.0000, 0.2180, 0.7500), Si at (0.2138, 0.5000, 0.0000) and Ni at (0.0000, 0.3950, 0.7500).

=====

5.
VASP calculation (PBE-GGA) on a relaxed ZrNi2Os crystal.

It has space group P2/m (No. 10), with a = 2.7282 Å, b = 3.7873 Å, c = 5.5336 Å, α = 90.00°, β = 90.17° and γ = 90.00°. The distinct sites, in fractional coordinates, are Zr at (0.0000, 0.0000, 0.0000), Ni at (0.4998, 0.5000, 0.2801) and Os at (0.0000, 0.0000, 0.5000).

The value obtained for the formation energy is -0.40 eV/f.u.

=====

6.
VASP calculation (PBE-GGA) on a relaxed RhBr3 crystal.

It has space group Pm-3n (No. 223), with a = 5.7206 Å, b = 5.7206 Å, c = 5.7206 Å, α = 90.00°, β = 90.00° and γ = 90.00°. The distinct sites, in fractional coordinates, are Rh at (0.0000, 0.0000, 0.0000) and Br at (0.0000, 0.2500, 0.5000).

=====

7.
VASP calculation (PBE-GGA) on a relaxed Li2GaCu5Ni2 crystal.

It has space group P4/mbm (No. 127), with a = 8.1682 Å, b = 8.1682 Å, c = 3.8843 Å, α = 90.00°, β = 90.00° and γ = 90.00°. The distinct sites, in fractional coordinates, are Li at (0.1744, 0.3256, 0.0000), Ga at (0.0000, 0.0000, 0.0000), Cu at (0.0000, 0.5000, 0.5000), Cu at (0.0751, 0.7974, 0.5000) and Ni at (0.1204, 0.6204, 0.0000).

The value obtained for the formation energy is -0.05 eV/f.u.

=====

8.
VASP calculation (PBE-GGA) on a relaxed TiNi7Sb2As2 crystal.

It has space group I4/mmm (No. 139), with a = 3.6294 Å, b = 3.6294 Å, c = 28.5971 Å, α = 90.00°, β = 90.00° and γ = 90.00°. The distinct sites, in fractional coordinates, are Ti at (0.0000, 0.0000, 0.0000), Ni at (0.0000, 0.0000, 0.3036), Ni at (0.0000, 0.0000, 0.5000), Ni at (0.0000, 0.5000, 0.0632), Sb at (0.0000, 0.0000, 0.2124) and As at (0.0000, 0.0000, 0.3845).

=====

9.
VASP calculation (PBE-GGA) on a relaxed TaP3 crystal.

It has space group Cmmm (No. 65), with a = 3.4628 Å, b = 4.3849 Å, c = 8.7794 Å, α = 90.00°, β = 90.00° and γ = 90.00°. The distinct sites, in fractional coordinates, are Ta at (0.0000, 0.0000, 0.0000), P at (0.0000, 0.0000, 0.5000) and P at (0.0000, 0.5000, 0.2151).

The value obtained for the formation energy is 1.37 eV/f.u.

=====

10.
VASP calculation (PBE-GGA) on a relaxed LiTmTlIr crystal.

It has space group F-43m (No. 216), with a = 6.7411 Å, b = 6.7411 Å, c = 6.7411 Å, α = 90.00°, β = 90.00° and γ = 90.00°. The distinct sites, in fractional coordinates, are Li at (0.0000, 0.0000, 0.0000), Tm at (0.2500, 0.2500, 0.7500), Tl at (0.2500, 0.2500, 0.2500) and Ir at (0.0000, 0.0000, 0.5000).

The value obtained for the formation energy is -1.49 eV/f.u.

=====

11.
VASP calculation (PBE-GGA) on a relaxed LiTiSi crystal.

It has space group Fmmm (No. 69), with a = 5.0748 Å, b = 6.7246 Å, c = 11.2289 Å, α = 90.00°, β = 90.00° and γ = 90.00°. The distinct sites, in fractional coordinates, are Li at (0.0000, 0.1691, 0.0000), Ti at (0.2500, 0.2500, 0.2500) and Si at (0.0000, 0.0000, 0.3899).

=====

12.
VASP calculation (PBE-GGA) on a relaxed LiUSb3 crystal.

It has space group Pbcm (No. 57), with a = 13.3473 Å, b = 6.0533 Å, c = 6.2129 Å, α = 90.00°, β = 90.00° and γ = 90.00°. The distinct sites, in fractional coordinates, are Li at (0.1034, 0.2500, 0.0000), U at (0.3177, 0.5081, 0.2500), Sb at (0.0844, 0.6965, 0.2500), Sb at (0.2588, 0.0057, 0.2500) and Sb at (0.4978, 0.2500, 0.0000).

=====

| no. | magnetization (μB/f.u.) | total energy (eV/atom) |
| --- | --- | --- |
| 1 | 0.00 | -11.35 |
| 2 | 0.00 | -2.16 |
| 3 | 1.51 | -2.74 |
| 4 | 0.00 | -6.08 |
| 5 | 0.00 | -7.94 |
| 6 | 2.32 | -2.36 |
| 7 | 0.00 | -3.89 |
| 8 | 0.00 | -5.79 |
| 9 | 0.00 | -6.68 |
| 10 | 0.00 | -4.77 |
| 11 | 0.00 | -5.28 |
| 12 | 2.62 | -5.41 |